Material: Ga2Si2S
Method: DFT, PBE
State: relaxed

Properties
- uncorrected formation energy (eV per atom) = 0.08
- M_tot (μB/f.u.) = 0.000
- Fermi-level density of states (states/eV per cell) = 1.33

```
data_Ga2Si2S
_chemical_formula_sum 'Ga2 Si2 S1'
_space_group_name_H-M_alt 'P 1'
_space_group_IT_number 1
_cell_length_a 4.8993
_cell_length_b 4.9773
_cell_length_c 5.2883
_cell_angle_alpha 67.07
_cell_angle_beta 62.44
_cell_angle_gamma 82.98
loop_
_space_group_symop_operation_xyz
'x,y,z'
loop_
_atom_site_label
_atom_site_type_symbol
_atom_site_fract_x
_atom_site_fract_y
_atom_site_fract_z
Ga1 Ga 0.0000 0.0000 0.0000
Ga2 Ga 0.4750 0.2304 0.2266
Si1 Si 0.0046 0.5234 0.3934
Si2 Si 0.4759 0.3503 0.6820
S1 S 0.1798 0.7363 0.6059
```